! CsBaMnI5, optimized geometry, DFT PBE-GGA; values from VASP
&SYSTEM
  ibrav = 0, nat = 16, ntyp = 4
/
ATOMIC_SPECIES
Cs 132.91 Cs.upf
Ba 137.33 Ba.upf
Mn 54.94 Mn.upf
I 126.90 I.upf
CELL_PARAMETERS angstrom
5.486 -7.318 0.000
5.486 7.318 0.000
-4.828 0.000 11.076
ATOMIC_POSITIONS crystal
Cs 0.143 0.857 0.750
Cs 0.857 0.143 0.250
Ba 0.500 0.500 0.000
Ba 0.500 0.500 0.500
Mn 0.186 0.814 0.250
Mn 0.814 0.186 0.750
I 0.093 0.247 0.928
I 0.165 0.589 0.362
I 0.247 0.093 0.428
I 0.400 0.600 0.750
I 0.411 0.835 0.138
I 0.589 0.165 0.862
I 0.600 0.400 0.250
I 0.753 0.907 0.572
I 0.835 0.411 0.638
I 0.907 0.753 0.072
! Space-group type   C2/c, No. 15
! D(E_F)   0.000 states/eV per cell
! Final energy   -3.67 eV/atom
! Energy relative to the elements, uncorrected   -116.9 kJ/mol of atoms